No. 1
An optimized crystal structure of Tb3H2Pb. Source: the Alexandria database, functional PBE-GGA.

a = 3.607 Å, b = 6.349 Å, c = 12.041 Å
α = 106.59°, β = 98.61°, γ = 90.00°
Positions (direct):
Tb (0.396, 0.653, 0.792)
Pb (0.649, 0.876, 0.297)
H (0.057, 0.163, 0.114)
H (0.943, 0.837, 0.886)
Tb (0.235, 0.255, 0.469)
H (0.707, 0.405, 0.414)
Tb (0.032, 0.789, 0.065)
Tb (0.765, 0.745, 0.531)
H (0.293, 0.595, 0.586)
Tb (0.604, 0.347, 0.208)
Tb (0.968, 0.211, 0.935)
Pb (0.351, 0.124, 0.703)

---

No. 2
An optimized crystal structure of PmAg2. Source: the Alexandria database, functional PBE-GGA.

Properties
DFT formation energy = -25 kJ per mole of atoms
ΔE to the lowest computed polymorph = 7 meV/atom

a = 3.823 Å, b = 3.823 Å, c = 5.458 Å
α = 110.51°, β = 110.51°, γ = 89.96°
Positions (direct):
Ag (0.171, 0.171, 0.344)
Ag (0.829, 0.829, 0.656)
Pm (0.500, 0.500, 0.000)

---

No. 3
An optimized crystal structure of BW. Source: the Alexandria database, functional PBE-GGA.

Properties
DFT formation energy = -34 kJ per mole of atoms
ΔE to the lowest computed polymorph = 13 meV/atom

a = 3.096 Å, b = 3.185 Å, c = 4.571 Å
α = 110.58°, β = 90.00°, γ = 90.00°
Positions (direct):
W (0.250, 0.646, 0.289)
W (0.750, 0.354, 0.711)
B (0.750, 0.062, 0.121)
B (0.250, 0.938, 0.879)

---

No. 4
An optimized crystal structure of NpGaCo3Si. Source: the Alexandria database, functional PBE-GGA.

Properties
Raw formation energy = -0.2 eV/f.u.

a = 5.095 Å, b = 4.969 Å, c = 8.065 Å
α = 107.94°, β = 90.00°, γ = 90.00°
Site moments in Bohr magnetons follow the coordinates.
Positions (direct):
Np (0.750, 0.222, 0.443)  3.49
Ga (0.750, 0.892, 0.784)  -0.04
Co (0.000, 0.241, 0.000)  0.85
Co (0.500, 0.759, 0.000)  0.85
Ga (0.250, 0.108, 0.216)  -0.04
Np (0.250, 0.778, 0.557)  3.49
Co (0.000, 0.759, 0.000)  0.85
Co (0.500, 0.241, 0.000)  0.85
Co (0.250, 0.261, 0.522)  -0.43
Si (0.250, 0.409, 0.817)  -0.05
Co (0.750, 0.739, 0.478)  -0.43
Si (0.750, 0.591, 0.183)  -0.05

---

No. 5
An optimized crystal structure of Nd4In3Ir. Source: the Alexandria database, functional PBE-GGA.

Properties
DFT formation energy = -49 kJ per mole of atoms

a = 3.666 Å, b = 3.666 Å, c = 16.326 Å
α = 90.00°, β = 90.00°, γ = 90.00°
Positions (direct):
Nd (0.000, 0.000, 0.102)
In (0.500, 0.500, 0.500)
Nd (0.000, 0.000, 0.368)
In (0.500, 0.500, 0.239)
Ir (0.500, 0.500, 0.000)
Nd (0.000, 0.000, 0.898)
Nd (0.000, 0.000, 0.632)
In (0.500, 0.500, 0.761)

---

No. 6
An optimized crystal structure of TbPm6Ho6. Source: the Alexandria database, functional PBE-GGA.

Properties
DFT formation energy = 26 kJ per mole of atoms

a = 6.713 Å, b = 6.713 Å, c = 11.372 Å
α = 90.00°, β = 90.00°, γ = 119.99°
Positions (direct):
Pm (0.333, 0.667, 0.500)
Pm (0.000, 0.000, 0.655)
Pm (0.667, 0.333, 0.500)
Tb (0.000, 0.000, 0.000)
Pm (0.000, 0.000, 0.345)
Pm (0.667, 0.333, 0.000)
Ho (0.500, 0.000, 0.246)
Ho (0.000, 0.500, 0.246)
Ho (0.500, 0.500, 0.754)
Ho (0.500, 0.000, 0.754)
Ho (0.500, 0.500, 0.246)
Pm (0.333, 0.667, 0.000)
Ho (0.000, 0.500, 0.754)

---

No. 7
An optimized crystal structure of La8CoIr3Br4. Source: the Alexandria database, functional PBE-GGA.

Properties
Raw formation energy = -18.3 eV/f.u.

a = 8.359 Å, b = 9.272 Å, c = 8.361 Å
α = 116.80°, β = 119.99°, γ = 90.00°
Positions (direct):
Ir (0.500, 0.500, 0.000)
La (0.732, 0.696, 0.464)
La (0.262, 0.307, 0.034)
Br (0.000, 0.000, 0.000)
Br (0.500, 0.000, 0.000)
La (0.771, 0.306, 0.543)
La (0.772, 0.307, 0.034)
Br (0.000, 0.000, 0.500)
La (0.268, 0.304, 0.536)
La (0.738, 0.693, 0.966)
Br (0.500, 0.000, 0.500)
Co (0.000, 0.500, 0.000)
La (0.229, 0.694, 0.457)
Ir (0.500, 0.500, 0.500)
La (0.228, 0.693, 0.966)
Ir (0.000, 0.500, 0.500)

---

No. 8
An optimized crystal structure of TlGa2TcAs. Source: the Alexandria database, functional PBE-GGA.

Properties
DFT formation energy = 111 kJ per mole of atoms

a = 4.794 Å, b = 4.794 Å, c = 5.930 Å
α = 90.00°, β = 90.00°, γ = 90.00°
Site moments in Bohr magnetons follow the coordinates.
Positions (direct):
Tl (0.000, 0.000, 0.500)  -0.02
Tc (0.500, 0.500, 0.500)  3.36
As (0.000, 0.000, 0.000)  0.04
Ga (0.500, 0.000, 0.000)  -0.02
Ga (0.000, 0.500, 0.000)  -0.02

---

Number 1: total DFT energy (no corrections) -53.72 eV for the cell shown. Number 2: total DFT energy (no corrections) -11.24 eV for the cell shown. Number 3: total DFT energy (no corrections) -40.68 eV for the cell shown. Number 4: total DFT energy (no corrections) -85.80 eV for the cell shown. Number 5: total DFT energy (no corrections) -40.24 eV for the cell shown. Number 6: total DFT energy (no corrections) -57.05 eV for the cell shown. Number 7: total DFT energy (no corrections) -98.06 eV for the cell shown. Number 8: total DFT energy (no corrections) -17.68 eV for the cell shown.